one.
Compound: Na5HgAu
Source: Alexandria
Functional: PBE
Structure: optimized geometry

As for the calculated density: 4.3 g cm⁻³. The crystal system is monoclinic. Its total moment is 0.000 Bohr magnetons per cell.

The structure belongs to space group C2/c (No. 15); the cell edges are 16.978, 7.977 and 6.197 Å and the angles 90.00°, 110.87° and 90.00°. The asymmetric unit holds Na at (0.000, 0.146, 0.250), Na at (0.112, 0.497, 0.115), Na at (0.172, 0.112, 0.913), Hg at (0.250, 0.250, 0.500) and Au at (0.000, 0.254, 0.750).

two.
Compound: Na5HgAu
Source: Alexandria
Functional: PBE
Structure: optimized geometry

As for the calculated density: 4.3 g cm⁻³. The crystal system is monoclinic. Its total moment is 0.000 Bohr magnetons per cell.

The structure belongs to space group C2/c (No. 15); the cell edges are 7.319, 7.288 and 14.773 Å and the angles 90.00°, 90.54° and 90.00°. The asymmetric unit holds Na at (0.000, 0.003, 0.250), Na at (0.246, 0.256, 0.107), Na at (0.249, 0.254, 0.393), Hg at (0.000, 0.494, 0.750) and Au at (0.000, 0.000, 0.000).

It is one that is most stable; the runner-up trails by 0.8 kJ/mol of atoms.

one.
Compound: Na2Hg2Au
Source: Alexandria
Functional: PBE
Structure: optimized geometry

As for the calculated density: 8.4 g cm⁻³. The crystal system is tetragonal. Its total moment is 0.000 Bohr magnetons per cell.

The structure belongs to space group P4/mbm (No. 127); the cell edges are 7.508, 7.508 and 4.498 Å and the angles 90.00°, 90.00° and 90.00°. The asymmetric unit holds Na at (0.171, 0.329, 0.000), Hg at (0.139, 0.639, 0.500) and Au at (0.000, 0.000, 0.500).

two.
Compound: Na2Hg2Au
Source: Alexandria
Functional: PBE
Structure: optimized geometry

As for the calculated density: 8.4 g cm⁻³. The crystal system is tetragonal. Its total moment is 0.000 Bohr magnetons per cell.

The structure belongs to space group I4/mmm (No. 139); the cell edges are 4.211, 4.211 and 14.323 Å and the angles 90.00°, 90.00° and 90.00°. The asymmetric unit holds Na at (0.000, 0.500, 0.250), Hg at (0.000, 0.000, 0.098) and Au at (0.000, 0.000, 0.500).

It is one that is most stable; the runner-up trails by 24.4 kJ/mol of atoms.

one.
Compound: Na2Hg2Au
Source: Alexandria
Functional: PBE
Structure: optimized geometry

As for the calculated density: 8.0 g cm⁻³. The crystal system is tetragonal. Its total moment is 0.000 Bohr magnetons per cell.

The structure belongs to space group P4/mbm (No. 127); the cell edges are 7.663, 7.663 and 4.544 Å and the angles 90.00°, 90.00° and 90.00°. The asymmetric unit holds Na at (0.155, 0.345, 0.000), Hg at (0.149, 0.649, 0.500) and Au at (0.000, 0.000, 0.000).

two.
Compound: Na2Hg2Au
Source: Alexandria
Functional: PBE
Structure: optimized geometry

As for the calculated density: 7.6 g cm⁻³. The crystal system is tetragonal. Its total moment is 0.000 Bohr magnetons per cell.

The structure belongs to space group I4/mmm (No. 139); the cell edges are 4.055, 4.055 and 17.034 Å and the angles 90.00°, 90.00° and 90.00°. The asymmetric unit holds Na at (0.000, 0.000, 0.091), Hg at (0.000, 0.500, 0.250) and Au at (0.000, 0.000, 0.500).

It is two that is most stable; the runner-up trails by 1.0 kJ/mol of atoms.

one.
Compound: NaHg4Au
Source: Alexandria
Functional: PBE
Structure: optimized geometry

As for the calculated density: 11.0 g cm⁻³. The crystal system is cubic. Its total moment is 0.000 Bohr magnetons per cell.

The structure belongs to space group F-43m (No. 216); the cell edges are 8.515, 8.515 and 8.515 Å and the angles 90.00°, 90.00° and 90.00°. The asymmetric unit holds Na at (0.000, 0.000, 0.000), Hg at (0.125, 0.125, 0.625) and Au at (0.250, 0.250, 0.250).

two.
Compound: NaHg4Au
Source: Alexandria
Functional: PBE
Structure: optimized geometry

As for the calculated density: 11.3 g cm⁻³. The crystal system is orthorhombic. Its total moment is 0.000 Bohr magnetons per cell.

The structure belongs to space group Pmma (No. 51); the cell edges are 8.995, 4.142 and 8.085 Å and the angles 90.00°, 90.00° and 90.00°. The asymmetric unit holds Na at (0.250, 0.000, 0.085), Hg at (0.000, 0.000, 0.500), Hg at (0.049, 0.500, 0.826), Hg at (0.250, 0.500, 0.385) and Au at (0.250, 0.000, 0.711).

three.
Compound: NaHg4Au
Source: Alexandria
Functional: PBE
Structure: optimized geometry

As for the calculated density: 11.3 g cm⁻³. The crystal system is monoclinic. Its total moment is 0.000 Bohr magnetons per cell.

The structure belongs to space group C2/m (No. 12); the cell edges are 14.284, 7.845 and 5.563 Å and the angles 90.00°, 105.36° and 90.00°. The asymmetric unit holds Na at (0.212, 0.000, 0.144), Hg at (0.000, 0.196, 0.000), Hg at (0.130, 0.188, 0.579), Hg at (0.163, 0.500, 0.259) and Au at (0.065, 0.500, 0.742).

It is two that is most stable; the runner-up trails by 2.6 kJ/mol of atoms.

one.
Compound: Na3HgAu
Source: Alexandria
Functional: PBE
Structure: optimized geometry

As for the calculated density: 6.2 g cm⁻³. The crystal system is triclinic. Its total moment is 0.000 Bohr magnetons per cell.

The structure belongs to space group P-1 (No. 2); the cell edges are 5.565, 6.634 and 7.465 Å and the angles 107.73°, 104.90° and 95.50°. The asymmetric unit holds Na at (0.045, 0.437, 0.198), Na at (0.251, 0.878, 0.569), Na at (0.435, 0.234, 0.985), Hg at (0.342, 0.357, 0.582) and Au at (0.145, 0.980, 0.183).

two.
Compound: Na3HgAu
Source: Alexandria
Functional: PBE
Structure: optimized geometry

As for the calculated density: 4.5 g cm⁻³. The crystal system is cubic. Its total moment is 0.000 Bohr magnetons per cell.

The structure belongs to space group Pm-3m (No. 221); the cell edges are 5.571, 5.571 and 5.571 Å and the angles 90.00°, 90.00° and 90.00°. The asymmetric unit holds Na at (0.000, 0.000, 0.500), Hg at (0.500, 0.500, 0.500) and Au at (0.000, 0.000, 0.000).

It is one that is most stable; the runner-up trails by 14.5 kJ/mol of atoms.

one.
Compound: Na2Hg8Au
Source: Alexandria
Functional: PBE
Structure: optimized geometry

As for the calculated density: 10.6 g cm⁻³. The crystal system is monoclinic. Its total moment is 0.000 Bohr magnetons per cell.

The structure belongs to space group C2/m (No. 12); the cell edges are 18.916, 4.703 and 6.694 Å and the angles 90.00°, 104.54° and 90.00°. The asymmetric unit holds Na at (0.203, 0.000, 0.148), Hg at (0.001, 0.000, 0.775), Hg at (0.123, 0.500, 0.862), Hg at (0.126, 0.500, 0.326), Hg at (0.188, 0.000, 0.636) and Au at (0.000, 0.500, 0.500).

two.
Compound: Na2Hg8Au
Source: Alexandria
Functional: PBE
Structure: optimized geometry

As for the calculated density: 10.8 g cm⁻³. The crystal system is tetragonal. Its total moment is 0.000 Bohr magnetons per cell.

The structure belongs to space group P4/mmm (No. 123); the cell edges are 4.928, 4.928 and 11.716 Å and the angles 90.00°, 90.00° and 90.00°. The asymmetric unit holds Na at (0.000, 0.000, 0.187), Hg at (0.000, 0.500, 0.000), Hg at (0.000, 0.500, 0.363), Hg at (0.500, 0.500, 0.187) and Au at (0.000, 0.000, 0.500).

It is two that is most stable; the runner-up trails by 1.0 kJ/mol of atoms.

one.
Compound: Na3Hg4Au
Source: Alexandria
Functional: PBE
Structure: optimized geometry

As for the calculated density: 8.5 g cm⁻³. The crystal system is monoclinic. Its total moment is 0.000 Bohr magnetons per cell.

The structure belongs to space group C2/m (No. 12); the cell edges are 14.097, 4.978 and 6.106 Å and the angles 90.00°, 103.34° and 90.00°. The asymmetric unit holds Na at (0.000, 0.000, 0.000), Na at (0.218, 0.500, 0.794), Hg at (0.119, 0.000, 0.546), Hg at (0.145, 0.500, 0.228) and Au at (0.000, 0.500, 0.500).

two.
Compound: Na3Hg4Au
Source: Alexandria
Functional: PBE
Structure: optimized geometry

As for the calculated density: 8.0 g cm⁻³. The crystal system is orthorhombic. Its total moment is 0.000 Bohr magnetons per cell.

The structure belongs to space group Immm (No. 71); the cell edges are 4.757, 7.238 and 12.861 Å and the angles 90.00°, 90.00° and 90.00°. The asymmetric unit holds Na at (0.000, 0.000, 0.000), Na at (0.000, 0.500, 0.136), Hg at (0.000, 0.288, 0.343) and Au at (0.000, 0.000, 0.500).

It is one that is most stable; the runner-up trails by 0.8 kJ/mol of atoms.

one.
Compound: Na2HgAu2
Source: Alexandria
Functional: PBE
Structure: optimized geometry

As for the calculated density: 8.4 g cm⁻³. The crystal system is tetragonal. Its total moment is 0.000 Bohr magnetons per cell.

The structure belongs to space group I4/mmm (No. 139); the cell edges are 3.861, 3.861 and 17.066 Å and the angles 90.00°, 90.00° and 90.00°. The asymmetric unit holds Na at (0.000, 0.000, 0.111), Hg at (0.000, 0.000, 0.500) and Au at (0.000, 0.500, 0.250).

two.
Compound: Na2HgAu2
Source: Alexandria
Functional: PBE
Structure: optimized geometry

As for the calculated density: 9.0 g cm⁻³. The crystal system is tetragonal. Its total moment is 0.000 Bohr magnetons per cell.

The structure belongs to space group P4/mbm (No. 127); the cell edges are 7.467, 7.467 and 4.231 Å and the angles 90.00°, 90.00° and 90.00°. The asymmetric unit holds Na at (0.167, 0.333, 0.000), Hg at (0.000, 0.000, 0.500) and Au at (0.132, 0.632, 0.500).

It is two that is most stable; the runner-up trails by 6.1 kJ/mol of atoms.